No. 1
NaAu | PBE-GGA | optimized geometry Values from VASP.

Cell and atoms, written as Quantum ESPRESSO input:
```
&SYSTEM
  ibrav = 0, nat = 16, ntyp = 2
/
ATOMIC_SPECIES
Au 196.97 Au.upf
Na 22.99 Na.upf
CELL_PARAMETERS angstrom
8.904 0.000 0.000
0.000 8.904 0.000
0.000 0.000 8.904
ATOMIC_POSITIONS angstrom
Au 7.874 1.030 1.030
Au 1.030 1.030 7.874
Au 3.422 3.422 3.422
Au 1.030 7.874 1.030
Au 7.874 7.874 7.874
Au 5.482 3.422 5.482
Au 3.422 5.482 5.482
Au 5.482 5.482 3.422
Na 7.128 7.128 1.776
Na 2.676 6.228 2.676
Na 7.128 1.776 7.128
Na 6.228 6.228 6.228
Na 2.676 2.676 6.228
Na 6.228 2.676 2.676
Na 1.776 7.128 7.128
Na 1.776 1.776 1.776
```

Calculated volume = 705.9 Å³/cell
Electronic total energy = -0.1755 Ry/atom
M_tot = 0.0 μB/f.u.

***

No. 2
Pm6Ir2Pt | PBE-GGA | optimized geometry Values from VASP.

Cell and atoms, written as Quantum ESPRESSO input:
```
&SYSTEM
  ibrav = 0, nat = 18, ntyp = 3
/
ATOMIC_SPECIES
Ir 192.22 Ir.upf
Pm 145.00 Pm.upf
Pt 195.08 Pt.upf
CELL_PARAMETERS angstrom
-6.602 1.091 -1.548
1.566 -0.674 -7.156
-1.013 -10.282 0.747
ATOMIC_POSITIONS angstrom
Ir -2.955 -7.430 -6.646
Ir -6.476 -7.214 -3.656
Ir -3.094 -2.436 -1.311
Ir 0.427 -2.651 -4.301
Pm -5.157 -8.762 -1.609
Pm -2.045 -7.679 -3.931
Pm -1.815 -7.611 -0.106
Pm -1.383 -4.626 -6.054
Pm -0.892 -1.104 -6.348
Pm -4.666 -5.239 -1.903
Pm -4.003 -2.186 -4.026
Pm -5.404 -9.130 -5.479
Pm -4.941 -5.595 -5.641
Pm -1.107 -4.270 -2.316
Pm -4.233 -2.254 -7.851
Pm -0.645 -0.735 -2.478
Pt -2.518 0.208 -4.352
Pt -0.506 -5.141 0.373
```

Calculated volume = 521.7 Å³/cell
Electronic total energy = -0.4714 Ry/atom
M_tot = 0.0 μB/f.u.

***

What is the calculated volume in the second record?
521.7 Å³/cell

***

What is the M_tot in the first record?
0.0 μB/f.u.

***

Which of these has the lowest calculated volume?
Pm6Ir2Pt

***

Please write out number 2 again, unchanged.
Pm6Ir2Pt | PBE-GGA | optimized geometry Values from VASP.

Cell and atoms, written as Quantum ESPRESSO input:
```
&SYSTEM
  ibrav = 0, nat = 18, ntyp = 3
/
ATOMIC_SPECIES
Ir 192.22 Ir.upf
Pm 145.00 Pm.upf
Pt 195.08 Pt.upf
CELL_PARAMETERS angstrom
-6.602 1.091 -1.548
1.566 -0.674 -7.156
-1.013 -10.282 0.747
ATOMIC_POSITIONS angstrom
Ir -2.955 -7.430 -6.646
Ir -6.476 -7.214 -3.656
Ir -3.094 -2.436 -1.311
Ir 0.427 -2.651 -4.301
Pm -5.157 -8.762 -1.609
Pm -2.045 -7.679 -3.931
Pm -1.815 -7.611 -0.106
Pm -1.383 -4.626 -6.054
Pm -0.892 -1.104 -6.348
Pm -4.666 -5.239 -1.903
Pm -4.003 -2.186 -4.026
Pm -5.404 -9.130 -5.479
Pm -4.941 -5.595 -5.641
Pm -1.107 -4.270 -2.316
Pm -4.233 -2.254 -7.851
Pm -0.645 -0.735 -2.478
Pt -2.518 0.208 -4.352
Pt -0.506 -5.141 0.373
```

Calculated volume = 521.7 Å³/cell
Electronic total energy = -0.4714 Ry/atom
M_tot = 0.0 μB/f.u.